## TbTm2As3 (GGA-PBE)

Data for crystalline TbTm2As3 at its relaxed geometry.

ρ, g/cm³: 8.26
Crystal system: orthorhombic
Energy of formation, eV/atom: -1.516

Unit cell a=7.0803 b=7.0803 c=7.0803 alpha=146.42 beta=131.79 gamma=60.03
With the nearest neighbours (Å) after each atom.
Positions (direct):
Tb 0.0000 0.0000 0.0000  6 As 2.89-2.91
Tm 0.3338 0.3338 0.0000  6 As 2.87-2.89
Tm 0.6662 0.6662 0.0000  6 As 2.87-2.89
As 0.1692 0.6692 0.5000  4 Tm 2.87-2.89, 2 Tb 2.91
As 0.5000 0.0000 0.5000  4 Tm 2.89, 2 Tb 2.89
As 0.8308 0.3308 0.5000  4 Tm 2.87-2.89, 2 Tb 2.91

***

## TbTmAs2 (GGA-PBE)

Data for crystalline TbTmAs2 at its relaxed geometry.

ρ, g/cm³: 8.14
Crystal system: tetragonal
Energy of formation, eV/atom: -1.523
Excess energy over the best structure of this formula in the dataset, eV per atom: 0.0000

Unit cell a=7.1026 b=7.1026 c=7.1026 alpha=131.83 beta=131.83 gamma=70.50
With the nearest neighbours (Å) after each atom.
Positions (direct):
Tb 0.3750 0.6250 0.7500  6 As 2.90-2.92
Tb 0.6250 0.3750 0.2500  6 As 2.90-2.92
Tm 0.1250 0.8750 0.2500  6 As 2.88-2.90
Tm 0.8750 0.1250 0.7500  6 As 2.88-2.90
As 0.1231 0.3731 0.7500  3 Tm 2.88-2.90, 3 Tb 2.90-2.92
As 0.3731 0.1231 0.2500  3 Tm 2.88-2.90, 3 Tb 2.90-2.92
As 0.6269 0.8769 0.7500  3 Tm 2.88-2.90, 3 Tb 2.90-2.92
As 0.8769 0.6269 0.2500  3 Tm 2.88-2.90, 3 Tb 2.90-2.92

***

## Tb4TmAs5 (GGA-PBE)

Data for crystalline Tb4TmAs5 at its relaxed geometry.

ρ, g/cm³: 7.89
Crystal system: tetragonal
Energy of formation, eV/atom: -1.534

Unit cell a=7.1430 b=7.1430 c=7.1430 alpha=99.60 beta=99.60 gamma=131.79
With the nearest neighbours (Å) after each atom.
Positions (direct):
Tb 0.0992 0.3000 0.3992  6 As 2.91-2.93
Tb 0.3000 0.9008 0.2007  6 As 2.91-2.93
Tb 0.7000 0.0992 0.7993  6 As 2.91-2.93
Tb 0.9008 0.7000 0.6008  6 As 2.91-2.93
Tm 0.5000 0.5000 0.0000  6 As 2.89-2.92
As 0.0000 0.0000 0.0000  4 Tb 2.91, 2 Tm 2.92
As 0.2024 0.5993 0.8017  1 Tm 2.89, 5 Tb 2.92-2.93
As 0.4007 0.2024 0.6031  1 Tm 2.89, 5 Tb 2.92-2.93
As 0.5993 0.7976 0.3969  1 Tm 2.89, 5 Tb 2.92-2.93
As 0.7976 0.4007 0.1983  1 Tm 2.89, 5 Tb 2.92-2.93

***

## Tb3Tm5As8 (GGA-PBE)

Data for crystalline Tb3Tm5As8 at its relaxed geometry.

ρ, g/cm³: 8.23
Crystal system: trigonal
Energy of formation, eV/atom: -1.517

Unit cell a=8.1820 b=8.1820 c=8.1820 alpha=60.01 beta=60.01 gamma=60.01
With the nearest neighbours (Å) after each atom.
Positions (direct):
Tb 0.0000 0.5000 0.5000  6 As 2.91
Tb 0.5000 0.0000 0.5000  6 As 2.91
Tb 0.5000 0.5000 0.0000  6 As 2.91
Tm 0.0000 0.0000 0.0000  6 As 2.89
Tm 0.0000 0.0000 0.5000  6 As 2.87
Tm 0.0000 0.5000 0.0000  6 As 2.87
Tm 0.5000 0.0000 0.0000  6 As 2.87
Tm 0.5000 0.5000 0.5000  6 As 2.89
As 0.2468 0.7500 0.7500  4 Tm 2.87-2.89, 2 Tb 2.91
As 0.2484 0.2484 0.2484  3 Tm 2.87, 3 Tb 2.91
As 0.2500 0.2500 0.7532  4 Tm 2.87-2.89, 2 Tb 2.91
As 0.2500 0.7532 0.2500  4 Tm 2.87-2.89, 2 Tb 2.91
As 0.7500 0.2468 0.7500  4 Tm 2.87-2.89, 2 Tb 2.91
As 0.7500 0.7500 0.2468  4 Tm 2.87-2.89, 2 Tb 2.91
As 0.7516 0.7516 0.7516  3 Tm 2.87, 3 Tb 2.91
As 0.7532 0.2500 0.2500  4 Tm 2.87-2.89, 2 Tb 2.91

***

## TbTmAs (GGA-PBE)

Data for crystalline TbTmAs at its relaxed geometry.

ρ, g/cm³: 8.74
Crystal system: tetragonal
Energy of formation, eV/atom: -0.731

Unit cell a=6.2484 b=6.2484 c=6.2484 alpha=145.86 beta=145.86 gamma=49.06
With the nearest neighbours (Å) after each atom.
Positions (direct):
Tb 0.0000 0.0000 0.0000  4 As 3.10, 1 Tm 3.23
Tm 0.7160 0.7160 0.0000  4 As 3.01, 1 Tb 3.23
As 0.3508 0.3508 0.0000  4 Tm 3.01, 4 Tb 3.10

***

## TbTmU2As4 (GGA-PBE)

Data for crystalline TbTmU2As4 at its relaxed geometry.

ρ, g/cm³: 9.48
Crystal system: monoclinic
Energy of formation, eV/atom: -1.098

Unit cell a=7.0647 b=4.0596 c=7.1321 alpha=90.00 beta=109.10 gamma=90.00
With the nearest neighbours (Å) after each atom.
Positions (direct):
Tb 0.0000 0.0000 0.0000  6 As 2.90-2.91
Tm 0.5000 0.5000 0.0000  6 As 2.88-2.89
U 0.0000 0.5000 0.5000  6 As 2.90
U 0.5000 0.0000 0.5000  6 As 2.88
As 0.2526 0.0000 0.7500  3 U 2.88-2.90, 2 Tm 2.88, 1 Tb 2.91
As 0.2528 0.5000 0.2519  3 U 2.88-2.90, 1 Tm 2.89, 2 Tb 2.90
As 0.7474 0.0000 0.2500  3 U 2.88-2.90, 2 Tm 2.88, 1 Tb 2.91
As 0.7472 0.5000 0.7481  3 U 2.88-2.90, 1 Tm 2.89, 2 Tb 2.90

***

## TbY2Tm3As6 (GGA-PBE)

Data for crystalline TbY2Tm3As6 at its relaxed geometry.

ρ, g/cm³: 7.37
Crystal system: monoclinic
Energy of formation, eV/atom: -1.528

Unit cell a=9.1571 b=9.1571 c=8.1900 alpha=102.88 beta=102.88 gamma=25.85
With the nearest neighbours (Å) after each atom.
Positions (direct):
Tb 0.0000 0.0000 0.0000  6 As 2.92
Y 0.3332 0.3332 0.6667  6 As 2.91
Y 0.6668 0.6668 0.3333  6 As 2.91
Tm 0.0000 0.0000 0.5000  6 As 2.88
Tm 0.3334 0.3334 0.1669  6 As 2.88
Tm 0.6666 0.6666 0.8331  6 As 2.88
As 0.1657 0.1657 0.5855  3 Tm 2.88, 3 Y 2.91
As 0.1678 0.1678 0.0809  3 Tm 2.88, 2 Y 2.91, 1 Tb 2.92
As 0.4991 0.4991 0.2528  3 Tm 2.88, 1 Y 2.91, 2 Tb 2.92
As 0.5009 0.5009 0.7472  3 Tm 2.88, 1 Y 2.91, 2 Tb 2.92
As 0.8322 0.8322 0.9191  3 Tm 2.88, 2 Y 2.91, 1 Tb 2.92
As 0.8343 0.8343 0.4145  3 Tm 2.88, 3 Y 2.91

***

## Tb3YTm2As6 (GGA-PBE)

Data for crystalline Tb3YTm2As6 at its relaxed geometry.

ρ, g/cm³: 7.62
Crystal system: monoclinic
Energy of formation, eV/atom: -1.531

Unit cell a=7.1214 b=7.1214 c=7.1188 alpha=99.59 beta=99.59 gamma=119.99
With the nearest neighbours (Å) after each atom.
Positions (direct):
Tb 0.0000 0.0000 0.0000  6 As 2.91-2.93
Tb 0.3339 0.6661 0.0000  6 As 2.91-2.93
Tb 0.6661 0.3339 0.0000  6 As 2.91-2.93
Y 0.5000 0.5000 0.5000  6 As 2.91
Tm 0.1668 0.8332 0.5000  6 As 2.89
Tm 0.8332 0.1668 0.5000  6 As 2.89
As 0.0822 0.4178 0.2533  2 Tm 2.89, 1 Y 2.91, 3 Tb 2.91-2.93
As 0.2465 0.2465 0.7463  2 Tm 2.89, 1 Y 2.91, 3 Tb 2.91-2.92
As 0.4178 0.0822 0.2533  2 Tm 2.89, 1 Y 2.91, 3 Tb 2.91-2.93
As 0.5822 0.9178 0.7467  2 Tm 2.89, 1 Y 2.91, 3 Tb 2.91-2.93
As 0.7535 0.7535 0.2537  2 Tm 2.89, 1 Y 2.91, 3 Tb 2.91-2.92
As 0.9178 0.5822 0.7467  2 Tm 2.89, 1 Y 2.91, 3 Tb 2.91-2.93

***

## Tb2YTmAs4 (GGA-PBE)

Data for crystalline Tb2YTmAs4 at its relaxed geometry.

ρ, g/cm³: 7.36
Crystal system: monoclinic
Energy of formation, eV/atom: -1.536

Unit cell a=7.1288 b=4.1184 c=7.1303 alpha=90.00 beta=109.47 gamma=90.00
With the nearest neighbours (Å) after each atom.
Positions (direct):
Tb 0.0000 0.0000 0.0000  6 As 2.91
Tb 0.0000 0.5000 0.5000  6 As 2.93
Y 0.5000 0.0000 0.5000  6 As 2.91
Tm 0.5000 0.5000 0.0000  6 As 2.89
As 0.2520 0.5000 0.2488  1 Tm 2.89, 2 Y 2.91, 3 Tb 2.91-2.93
As 0.2534 0.0000 0.7530  2 Tm 2.89, 1 Y 2.91, 3 Tb 2.91-2.93
As 0.7466 0.0000 0.2470  2 Tm 2.89, 1 Y 2.91, 3 Tb 2.91-2.93
As 0.7480 0.5000 0.7512  1 Tm 2.89, 2 Y 2.91, 3 Tb 2.91-2.93

***

## TbY2TmAs4 (GGA-PBE)

Data for crystalline TbY2TmAs4 at its relaxed geometry.

ρ, g/cm³: 6.80
Crystal system: monoclinic
Energy of formation, eV/atom: -1.539

Unit cell a=7.1219 b=4.1138 c=7.1228 alpha=90.00 beta=109.46 gamma=90.00
With the nearest neighbours (Å) after each atom.
Positions (direct):
Tb 0.0000 0.0000 0.0000  6 As 2.91
Y 0.0000 0.5000 0.5000  6 As 2.92-2.93
Y 0.5000 0.0000 0.5000  6 As 2.91
Tm 0.5000 0.5000 0.0000  6 As 2.89
As 0.2518 0.5000 0.2490  1 Tm 2.89, 3 Y 2.91-2.92, 2 Tb 2.91
As 0.2531 0.0000 0.7527  2 Tm 2.89, 3 Y 2.91-2.93, 1 Tb 2.91
As 0.7469 0.0000 0.2473  2 Tm 2.89, 3 Y 2.91-2.93, 1 Tb 2.91
As 0.7482 0.5000 0.7510  1 Tm 2.89, 3 Y 2.91-2.92, 2 Tb 2.91

***

## Tb4UAs5 (GGA-PBE)

Data for crystalline Tb4UAs5 at its relaxed geometry.

ρ, g/cm³: 8.38
Crystal system: tetragonal
Energy of formation, eV/atom: -1.379

Unit cell a=7.1369 b=7.1369 c=7.1369 alpha=99.61 beta=99.61 gamma=131.76
With the nearest neighbours (Å) after each atom.
Positions (direct):
Tb 0.0985 0.3007 0.3992  6 As 2.91-2.95
Tb 0.3007 0.9015 0.2022  6 As 2.91-2.95
Tb 0.6993 0.0985 0.7978  6 As 2.91-2.95
Tb 0.9015 0.6993 0.6008  6 As 2.91-2.95
U 0.5000 0.5000 0.0000  6 As 2.86-2.92
As 0.0000 0.0000 0.0000  4 Tb 2.92, 2 U 2.92
As 0.2052 0.5976 0.8028  1 U 2.86, 5 Tb 2.91-2.95
As 0.4024 0.2052 0.6076  1 U 2.86, 5 Tb 2.91-2.95
As 0.5976 0.7948 0.3924  1 U 2.86, 5 Tb 2.91-2.95
As 0.7948 0.4024 0.1972  1 U 2.86, 5 Tb 2.91-2.95

***

## TbU2As3 (GGA-PBE)

Data for crystalline TbU2As3 at its relaxed geometry.

ρ, g/cm³: 9.77
Crystal system: monoclinic
Energy of formation, eV/atom: -0.989

Unit cell a=5.7983 b=12.3192 c=8.1832 alpha=90.00 beta=90.06 gamma=90.00
With the nearest neighbours (Å) after each atom.
Positions (direct):
Tb 0.2496 0.0824 0.1242  6 As 2.90-2.91
Tb 0.2496 0.4176 0.6242  6 As 2.90-2.91
Tb 0.7504 0.5824 0.3758  6 As 2.90-2.91
Tb 0.7504 0.9176 0.8758  6 As 2.90-2.91
U 0.2494 0.0837 0.6236  6 As 2.89-2.90
U 0.2494 0.4163 0.1236  6 As 2.89-2.90
U 0.2509 0.7490 0.6246  6 As 2.88-2.90
U 0.2509 0.7510 0.1246  6 As 2.88-2.90
U 0.7491 0.2490 0.8754  6 As 2.88-2.90
U 0.7491 0.2510 0.3754  6 As 2.88-2.90
U 0.7506 0.5837 0.8764  6 As 2.89-2.90
U 0.7506 0.9163 0.3764  6 As 2.89-2.90
As 0.2491 0.2492 0.8744  4 U 2.89-2.90, 2 Tb 2.90-2.91
As 0.2491 0.2508 0.3744  4 U 2.89-2.90, 2 Tb 2.90-2.91
As 0.2503 0.5844 0.3720  3 U 2.88-2.90, 3 Tb 2.90-2.91
As 0.2503 0.9156 0.8720  3 U 2.88-2.90, 3 Tb 2.90-2.91
As 0.2506 0.5839 0.8756  5 U 2.89-2.90, 1 Tb 2.90
As 0.2506 0.9161 0.3756  5 U 2.89-2.90, 1 Tb 2.90
As 0.7494 0.0839 0.6244  5 U 2.89-2.90, 1 Tb 2.90
As 0.7494 0.4161 0.1244  5 U 2.89-2.90, 1 Tb 2.90
As 0.7497 0.0844 0.1280  3 U 2.88-2.90, 3 Tb 2.90-2.91
As 0.7497 0.4156 0.6280  3 U 2.88-2.90, 3 Tb 2.90-2.91
As 0.7509 0.7492 0.6256  4 U 2.89-2.90, 2 Tb 2.90-2.91
As 0.7509 0.7508 0.1256  4 U 2.89-2.90, 2 Tb 2.90-2.91